DFT (PBE) results for a relaxed structure of ErMgBe4.

a = 4.855 Å, b = 4.855 Å, c = 4.855 Å
α = 60.00°, β = 60.00°, γ = 60.00°
Element x y z (fractional)
Be 0.621 0.621 0.137
Be 0.137 0.621 0.621
Be 0.621 0.137 0.621
Be 0.621 0.621 0.621
Mg 0.000 0.000 0.000
Er 0.250 0.250 0.250

Computed properties:
For the formation energy, the calculation gives 0.12 eV per atom. As for the energy: -3.394 eV per atom. As for the space group: No. 216.

***

DFT (PBE) results for a relaxed structure of LiTa2HPt.

a = 4.047 Å, b = 4.047 Å, c = 4.044 Å
α = 90.00°, β = 90.00°, γ = 90.00°
Element x y z (fractional)
Ta 0.500 0.000 0.000
Ta 0.000 0.500 0.000
Pt 0.500 0.500 0.500
Li 0.000 0.000 0.500
H 0.000 0.000 0.000

Computed properties:
As for the energy: -7.220 eV per atom. As for the space group: No. 123.

***

DFT (PBE) results for a relaxed structure of RbBr2O7.

a = 3.815 Å, b = 5.612 Å, c = 9.495 Å
α = 107.19°, β = 90.00°, γ = 90.00°
Site moments in Bohr magnetons follow the coordinates.
Element x y z (fractional)
Rb 0.000 0.000 0.000  0.00
Br 0.500 0.384 0.767  0.00
Br 0.500 0.616 0.233  0.00
O 0.500 0.913 0.325  -0.01
O 0.500 0.500 0.000  0.10
O 0.000 0.580 0.160  0.03
O 0.500 0.087 0.675  -0.01
O 0.500 0.588 0.675  -0.01
O 0.500 0.412 0.325  -0.01
O 0.000 0.420 0.840  0.03

Computed properties:
As for the energy relative to the elements, uncorrected: 2.87 eV per formula unit. As for the energy: -3.616 eV per atom. As for the space group: No. 65.

***

DFT (PBE) results for a relaxed structure of SrAg2Pd.

a = 4.999 Å, b = 4.999 Å, c = 4.999 Å
α = 60.00°, β = 60.00°, γ = 60.00°
Element x y z (fractional)
Pd 0.500 0.500 0.500
Ag 0.250 0.250 0.250
Ag 0.750 0.750 0.750
Sr 0.000 0.000 0.000

Computed properties:
The value obtained for the energy above the most stable polymorph in this dataset is 0.1831 eV/atom. For the formation energy, the calculation gives -0.15 eV per atom. As for the energy: -3.299 eV per atom. As for the space group: No. 225.

***

DFT (PBE) results for a relaxed structure of AgPd3Pt6.

a = 2.788 Å, b = 2.788 Å, c = 23.359 Å
α = 90.00°, β = 90.00°, γ = 120.00°
Element x y z (fractional)
Pd 0.000 0.000 0.296
Pd 0.000 0.000 0.000
Pd 0.000 0.000 0.704
Ag 0.000 0.000 0.500
Pt 0.667 0.333 0.902
Pt 0.333 0.667 0.098
Pt 0.667 0.333 0.604
Pt 0.667 0.333 0.198
Pt 0.333 0.667 0.396
Pt 0.333 0.667 0.802

Computed properties:
For the formation energy, the calculation gives -0.02 eV per atom. As for the energy: -5.488 eV per atom. As for the space group: No. 164.

***

DFT (PBE) results for a relaxed structure of Pr4NdEr7.

a = 5.915 Å, b = 11.728 Å, c = 6.765 Å
α = 83.22°, β = 64.08°, γ = 75.39°
Element x y z (fractional)
Pr 0.365 0.777 0.494
Pr 0.224 0.334 0.219
Pr 0.776 0.666 0.781
Pr 0.635 0.223 0.506
Er 0.367 0.496 0.770
Er 0.931 0.315 0.823
Er 0.500 0.000 0.000
Er 0.211 0.077 0.502
Er 0.789 0.923 0.498
Er 0.069 0.685 0.177
Er 0.633 0.504 0.230
Nd 0.000 0.000 0.000

Computed properties:
The value obtained for the energy above the most stable polymorph in this dataset is 0.2317 eV/atom. For the formation energy, the calculation gives 0.25 eV per atom. As for the energy: -4.399 eV per atom. As for the space group: No. 12.

***

DFT (PBE) results for a relaxed structure of NaIn2PtPb.

a = 5.677 Å, b = 5.521 Å, c = 5.677 Å
α = 90.00°, β = 90.00°, γ = 90.00°
Element x y z (fractional)
In 0.000 0.000 0.500
In 0.500 0.000 0.000
Pt 0.500 0.500 0.500
Pb 0.000 0.000 0.000
Na 0.000 0.500 0.000

Computed properties:
For the formation energy, the calculation gives 0.81 eV per atom. As for the energy: -2.496 eV per atom. As for the space group: No. 123.

***

DFT (PBE) results for a relaxed structure of TbZrTi4.

a = 5.661 Å, b = 5.661 Å, c = 5.661 Å
α = 60.00°, β = 60.00°, γ = 60.00°
Site moments in Bohr magnetons follow the coordinates.
Element x y z (fractional)
Ti 0.627 0.118 0.627  1.06
Ti 0.118 0.627 0.627  1.06
Ti 0.627 0.627 0.118  1.06
Ti 0.627 0.627 0.627  1.06
Tb 0.250 0.250 0.250  0.74
Zr 0.000 0.000 0.000  0.56

Computed properties:
For the formation energy, the calculation gives 0.23 eV per atom. As for the energy: -7.228 eV per atom. As for the space group: No. 216.

***

DFT (PBE) results for a relaxed structure of Rb4NaAg.

a = 8.026 Å, b = 11.564 Å, c = 10.384 Å
α = 115.14°, β = 101.32°, γ = 109.97°
Element x y z (fractional)
Rb 0.934 0.797 0.154
Rb 0.380 0.939 0.664
Rb 0.216 0.274 0.336
Rb 0.066 0.203 0.846
Rb 0.784 0.726 0.664
Rb 0.620 0.061 0.336
Rb 0.280 0.643 0.846
Rb 0.720 0.357 0.154
Ag 0.749 0.999 0.998
Ag 0.251 0.001 0.002
Na 0.375 0.625 0.249
Na 0.625 0.375 0.751

Computed properties:
For the formation energy, the calculation gives 0.05 eV per atom. As for the energy: -1.292 eV per atom. As for the space group: No. 15.

***

DFT (PBE) results for a relaxed structure of Be3HIr.

a = 4.267 Å, b = 4.267 Å, c = 4.267 Å
α = 90.00°, β = 90.00°, γ = 90.00°
Site moments in Bohr magnetons follow the coordinates.
Element x y z (fractional)
Be 0.500 0.000 0.000  0.02
Be 0.000 0.500 0.000  -0.01
Be 0.000 0.000 0.500  -0.01
H 0.500 0.500 0.500  0.26
Ir 0.000 0.000 0.000  0.06

Computed properties:
The value obtained for the energy above the most stable polymorph in this dataset is 1.1201 eV/atom. As for the energy: -3.751 eV per atom. As for the space group: No. 221.